! K3MnPCO7 PBE with a Hubbard U relaxed; values from VASP
&SYSTEM
  ibrav = 0, nat = 26, ntyp = 5
/
ATOMIC_SPECIES
O 16.00 O.upf
K 39.10 K.upf
C 12.01 C.upf
Mn 54.94 Mn.upf
P 30.97 P.upf
ATOMIC_POSITIONS crystal
O 0.750 0.449 0.152
O 0.250 0.737 0.054
O 0.750 0.902 0.457
O 0.428 0.237 0.328
O 0.928 0.763 0.672
O 0.250 0.529 0.476
O 0.072 0.237 0.328
O 0.572 0.763 0.672
O 0.750 0.471 0.524
O 0.250 0.944 0.853
O 0.250 0.551 0.848
O 0.750 0.056 0.147
O 0.250 0.098 0.543
O 0.750 0.263 0.946
K 0.750 0.758 0.926
K 0.509 0.258 0.721
K 0.991 0.258 0.721
K 0.491 0.742 0.279
K 0.250 0.242 0.074
K 0.009 0.742 0.279
C 0.750 0.256 0.079
C 0.250 0.744 0.921
Mn 0.750 0.233 0.359
Mn 0.250 0.767 0.641
P 0.250 0.272 0.419
P 0.750 0.728 0.581
CELL_PARAMETERS angstrom
7.106 0.000 0.000
0.000 5.706 -0.031
0.000 0.107 9.680
! Space-group type: P2_1/m, No. 11
! Crystal system: monoclinic
! Uncorrected energy (eV/atom): -6.631